First-principles (PBE-GGA) data for crystalline SrTiVRh2 at its relaxed geometry, as listed in Alexandria.

Cell: 4.794 4.794 4.799 Å, 90.00 90.00 90.00°
Space group P4/mmm (No. 123)
Unique sites:
Sr 0.000 0.000 0.000 (multiplicity 1)
Ti 0.000 0.000 0.500 (multiplicity 1)
V 0.500 0.500 0.500 (multiplicity 1)
Rh 0.000 0.500 0.000 (multiplicity 2)

Energy of formation in eV/atom: 2.102
Raw total energy in eV for the cell shown: -22.89
Crystal system: tetragonal